1.
## MgAgTeN2 (PBE-GGA)

Data for MgAgTeN2 after structural relaxation.

Cell lengths 4.174, 4.174, 5.937 Å; angles 90.00, 90.00, 90.00 degrees
Space group P4/mmm (No. 123)
Unique sites:
Mg 0.000 0.000 0.000 (multiplicity 1)
Ag 0.500 0.500 0.500 (multiplicity 1)
Te 0.500 0.500 0.000 (multiplicity 1)
N 0.000 0.500 0.500 (multiplicity 2)

Computed properties:
crystal system	tetragonal
energy above the lowest structure with this stoichiometry	0.192	eV per atom

=====

2.
## MgAgTe2N (PBE-GGA)

Data for MgAgTe2N after structural relaxation.

Cell lengths 5.706, 5.706, 3.861 Å; angles 90.00, 90.00, 90.00 degrees
Space group P4/mmm (No. 123)
Unique sites:
Mg 0.000 0.000 0.000 (multiplicity 1)
Ag 0.500 0.500 0.500 (multiplicity 1)
Te 0.000 0.500 0.000 (multiplicity 2)
N 0.000 0.000 0.500 (multiplicity 1)

Computed properties:
crystal system	tetragonal
energy above the lowest structure with this stoichiometry	0.000	eV per atom

=====

3.
## MgAgTe2N (PBE-GGA)

Data for MgAgTe2N after structural relaxation.

Cell lengths 5.665, 5.665, 3.935 Å; angles 90.00, 90.00, 90.00 degrees
Space group P4/mmm (No. 123)
Unique sites:
Mg 0.000 0.000 0.000 (multiplicity 1)
Ag 0.500 0.500 0.500 (multiplicity 1)
Te 0.000 0.500 0.500 (multiplicity 2)
N 0.500 0.500 0.000 (multiplicity 1)

Computed properties:
crystal system	tetragonal
energy above the lowest structure with this stoichiometry	0.110	eV per atom

=====

4.
## MgAgTeN2 (PBE-GGA)

Data for MgAgTeN2 after structural relaxation.

Cell lengths 4.153, 4.153, 6.171 Å; angles 90.00, 90.00, 90.00 degrees
Space group P4/mmm (No. 123)
Unique sites:
Mg 0.000 0.000 0.000 (multiplicity 1)
Ag 0.500 0.500 0.500 (multiplicity 1)
Te 0.000 0.000 0.500 (multiplicity 1)
N 0.000 0.500 0.000 (multiplicity 2)

Computed properties:
crystal system	tetragonal
energy above the lowest structure with this stoichiometry	0.000	eV per atom

=====

5.
## MgTiAgN2 (PBE-GGA)

Data for MgTiAgN2 after structural relaxation.

Cell lengths 3.948, 3.948, 5.038 Å; angles 90.00, 90.00, 90.00 degrees
Space group P4/mmm (No. 123)
Unique sites:
Mg 0.000 0.000 0.000 (multiplicity 1)
Ti 0.000 0.000 0.500 (multiplicity 1)
Ag 0.500 0.500 0.500 (multiplicity 1)
N 0.000 0.500 0.000 (multiplicity 2)

Computed properties:
crystal system	tetragonal

=====

6.
## MgTi2AgN (PBE-GGA)

Data for MgTi2AgN after structural relaxation.

Cell lengths 4.111, 4.111, 4.391 Å; angles 90.00, 90.00, 90.00 degrees
Space group P4/mmm (No. 123)
Unique sites:
Mg 0.000 0.000 0.000 (multiplicity 1)
Ti 0.000 0.500 0.500 (multiplicity 2)
Ag 0.500 0.500 0.000 (multiplicity 1)
N 0.000 0.000 0.500 (multiplicity 1)

Computed properties:
crystal system	tetragonal

=====

7.
## MgVAgN2 (PBE-GGA)

Data for MgVAgN2 after structural relaxation.

Cell lengths 4.142, 4.142, 4.804 Å; angles 90.00, 90.00, 90.00 degrees
Space group P4/mmm (No. 123)
Unique sites:
Mg 0.000 0.000 0.000 (multiplicity 1)
V 0.500 0.500 0.000 (multiplicity 1)
Ag 0.500 0.500 0.500 (multiplicity 1)
N 0.000 0.500 0.500 (multiplicity 2)

Computed properties:
crystal system	tetragonal

=====

8.
## Mg2VAgN (PBE-GGA)

Data for Mg2VAgN after structural relaxation.

Cell lengths 4.127, 4.127, 4.766 Å; angles 90.00, 90.00, 90.00 degrees
Space group P4/mmm (No. 123)
Unique sites:
Mg 0.000 0.500 0.000 (multiplicity 2)
V 0.000 0.000 0.500 (multiplicity 1)
Ag 0.500 0.500 0.500 (multiplicity 1)
N 0.500 0.500 0.000 (multiplicity 1)

Computed properties:
crystal system	tetragonal

=====

Raw formation energy / kJ per mole of atoms: 135.64; 65.63; 76.25; 117.10; 154.53; -57.36; 206.71; 51.57
Uncorrected energy / eV per atom: -3.4418; -3.1307; -3.0206; -3.6340; -4.1967; -6.3067; -3.9006; -4.1625